Record 1
4
Lattice="5.627 0.000 0.000 2.813 4.873 0.000 2.813 1.624 4.594" Properties=species:S:1:pos:R:3 comment="EuGdBiI GGA-PBE optimized geometry" raw_formation_energy_ev_per_atom=-0.8778 total_magnetization_mub_per_cell=14.768 space_group="F-43m, No. 216" pbc="T T T"
Eu 2.813 1.624 1.149
I 0.000 0.000 0.000
Gd 8.440 4.873 3.446
Bi 5.627 3.249 2.297

Record 2
4
Lattice="-4.635 4.367 -4.886 -6.378 3.542 -3.347 -5.080 5.560 -2.774" Properties=species:S:1:pos:R:3 comment="BeCrNi2 GGA-PBE optimized geometry" formation_enthalpy_0k_kj_per_mol_atoms=0.4 total_magnetization_mub_per_cell=0.000 space_group="R3m, No. 160" pbc="T T T"
Ni -16.092 13.468 -11.007
Ni -3.942 3.299 -2.696
Be -8.099 6.778 -5.540
Cr -12.101 10.127 -8.277

Record 3
10
Lattice="7.817 0.000 0.000 0.000 7.817 0.000 3.908 3.908 5.945" Properties=species:S:1:pos:R:3 comment="Cs2VSbBr6 GGA-PBE optimized geometry" raw_formation_energy_ev_per_atom=-1.0138 total_magnetization_mub_per_cell=4.000 space_group="I4/mmm, No. 139" pbc="T T T"
Cs 7.817 3.908 2.972
Cs 3.908 7.817 2.972
Sb 0.000 0.000 0.000
Br 3.908 3.908 2.608
Br 7.817 7.817 3.336
Br 2.012 2.012 0.000
Br 5.805 5.805 0.000
Br 5.805 2.012 0.000
Br 2.012 5.805 0.000
V 3.908 3.908 0.000

Record 4
29
Lattice="9.783 0.000 5.648 3.261 9.224 5.648 0.000 0.000 11.297" Properties=species:S:1:pos:R:3 comment="La6Sm16Tm7 GGA-PBE optimized geometry" formation_enthalpy_0k_kj_per_mol_atoms=20.0 total_magnetization_mub_per_cell=1.468 space_group="Fm-3m, No. 225" pbc="T T T"
La 5.125 6.588 8.877
La 7.919 2.636 13.717
La 7.919 2.636 8.877
La 5.125 6.588 13.717
La 9.317 6.588 11.297
La 3.728 2.636 11.297
Sm 11.427 8.080 14.099
Sm 11.427 8.080 19.791
Sm 9.783 3.432 16.945
Sm 6.496 8.080 16.945
Sm 1.618 1.144 2.802
Sm 1.618 1.144 8.495
Sm 3.261 5.792 5.648
Sm 6.548 1.144 5.648
Sm 8.526 6.029 7.827
Sm 8.526 6.029 14.767
Sm 6.522 0.362 11.297
Sm 2.515 6.029 11.297
Sm 4.519 3.195 7.827
Sm 4.519 3.195 14.767
Sm 6.522 8.862 11.297
Sm 10.529 3.195 11.297
Tm 0.000 0.000 0.000
Tm 4.892 0.000 8.473
Tm 1.631 4.612 2.824
Tm 1.631 4.612 8.473
Tm 4.892 0.000 2.824
Tm 0.000 0.000 5.648
Tm 6.522 4.612 5.648

Record 5
4
Lattice="5.062 0.000 0.000 2.531 4.384 0.000 2.531 1.461 4.133" Properties=species:S:1:pos:R:3 comment="TbPrCuPd GGA-PBE optimized geometry" formation_enthalpy_0k_kj_per_mol_atoms=-45.9 relative_energy_ev_per_atom=0.043 total_magnetization_mub_per_cell=0.000 space_group="F-43m, No. 216" pbc="T T T"
Pr 5.062 2.922 2.066
Tb 0.000 0.000 0.000
Cu 2.531 1.461 1.033
Pd 7.592 4.384 3.100

Record 6
6
Lattice="-0.159 2.211 2.826 -1.398 -3.300 0.221 9.834 -3.923 3.621" Properties=species:S:1:pos:R:3 comment="ThAlO GGA-PBE optimized geometry" raw_formation_energy_ev_per_atom=-1.4088 total_magnetization_mub_per_cell=0.880 space_group="P-6m2, No. 187" pbc="T T T"
Al -0.986 -1.464 1.090
Al 3.933 -3.424 2.899
Th 2.175 -0.722 2.969
Th 6.515 -2.454 4.568
O 7.221 -4.737 4.111
O 0.643 -2.112 1.689

Record 7
5
Lattice="-2.865 -1.296 -4.691 -2.648 -2.242 2.237 -3.251 4.561 0.725" Properties=species:S:1:pos:R:3 comment="KLi2TiCo GGA-PBE optimized geometry" formation_enthalpy_0k_kj_per_mol_atoms=70.0 total_magnetization_mub_per_cell=0.000 space_group="P4/mmm, No. 123" pbc="T T T"
K -4.382 0.511 -0.865
Li -1.625 2.281 0.362
Li -1.432 -0.648 -2.346
Co -1.324 -1.121 1.118
Ti 0.000 0.000 0.000

Record 8
12
Lattice="-1.942 -4.054 4.201 2.151 -1.976 -5.415 10.579 1.485 4.824" Properties=species:S:1:pos:R:3 comment="Pr3Ho6Tm2Sc GGA-PBE optimized geometry" formation_enthalpy_0k_kj_per_mol_atoms=3.4 total_magnetization_mub_per_cell=0.000 space_group="C2/m, No. 12" pbc="T T T"
Pr 6.759 -1.579 -1.402
Pr 4.029 -2.965 5.012
Pr 5.394 -2.272 1.805
Ho 7.501 -3.766 4.334
Ho 2.713 -4.157 0.256
Ho 3.287 -0.778 -0.724
Ho 8.856 -3.078 1.150
Ho 8.075 -0.387 3.354
Ho 1.931 -1.466 2.460
Tm 0.786 -2.668 -2.209
Tm -0.578 -3.361 0.995
Sc 0.000 0.000 0.000

Record 9
3
Lattice="4.190 0.000 0.000 0.000 3.886 0.000 0.000 -1.943 3.365" Properties=species:S:1:pos:R:3 comment="PaMnRu GGA-PBE optimized geometry" formation_enthalpy_0k_kj_per_mol_atoms=-1.0 relative_energy_ev_per_atom=0.280 total_magnetization_mub_per_cell=0.000 space_group="P3m1, No. 156" pbc="T T T"
Ru 1.002 1.943 1.122
Pa 2.819 0.000 2.244
Mn 0.369 0.000 0.000

Record 10
5
Lattice="-0.746 0.939 -4.068 2.217 -3.412 -1.194 -3.701 -2.445 0.115" Properties=species:S:1:pos:R:3 comment="TcPbNO2 GGA-PBE optimized geometry" raw_formation_energy_ev_per_atom=0.9915 total_magnetization_mub_per_cell=3.978 space_group="P4/mmm, No. 123" pbc="T T T"
Pb 0.000 0.000 0.000
Tc -1.115 -2.460 -2.574
O 1.109 -1.706 -0.597
O -0.373 0.469 -2.034
N -1.851 -1.223 0.057

Record 11
11
Lattice="-1.587 5.049 -1.661 -1.327 -4.804 -7.220 -4.886 -1.182 7.190" Properties=species:S:1:pos:R:3 comment="DyTm8Mg2 GGA-PBE optimized geometry" formation_enthalpy_0k_kj_per_mol_atoms=15.6 total_magnetization_mub_per_cell=0.000 space_group="C2/m, No. 12" pbc="T T T"
Dy -0.793 2.524 -0.830
Tm -5.901 -0.738 -3.073
Tm -6.692 0.067 0.132
Tm -4.170 -2.056 -0.513
Tm -2.878 -1.509 -4.985
Tm -4.923 0.572 3.294
Tm -3.631 1.119 -1.178
Tm -1.108 -1.004 -1.823
Tm -1.900 -0.198 1.382
Mg -3.795 -2.293 2.771
Mg -2.419 -3.693 -2.801